1.
LiZrTaW2: relaxed, PBE.

a b c (Å): 4.807 4.807 5.201
angles (deg): 90.00 90.00 90.00
Fractional coordinates of all 5 atoms:
Li 0.000 0.000 0.000
Zr 0.500 0.500 0.000
Ta 0.500 0.500 0.500
W 0.000 0.500 0.500
W 0.500 0.000 0.500

Computed properties:
- size of the total moment (μB per atom) = 0.000
- energy relative to the elements (eV/atom) = 1.705



2.
TlTcAs2: relaxed, PBE.

a b c (Å): 4.395 4.395 7.734
angles (deg): 90.00 90.00 90.00
Fractional coordinates of all 8 atoms:
Tl 0.000 0.000 0.000
Tl 0.500 0.500 0.500
Tc 0.000 0.000 0.500
Tc 0.500 0.500 0.000
As 0.000 0.500 0.250
As 0.000 0.500 0.750
As 0.500 0.000 0.250
As 0.500 0.000 0.750

Computed properties:
- size of the total moment (μB per atom) = 0.000
- energy relative to the elements (eV/atom) = 0.566
- E above lowest polymorph (eV/f.u.) = 2.75



3.
Cs4Mn2Cr: relaxed, PBE.

a b c (Å): 5.687 5.687 16.275
angles (deg): 90.00 90.00 90.00
Fractional coordinates of all 14 atoms:
Cs 0.000 0.000 0.204
Cs 0.000 0.000 0.796
Cs 0.000 0.500 0.000
Cs 0.000 0.500 0.500
Cs 0.500 0.000 0.000
Cs 0.500 0.000 0.500
Cs 0.500 0.500 0.296
Cs 0.500 0.500 0.704
Mn 0.000 0.000 0.413
Mn 0.000 0.000 0.587
Mn 0.500 0.500 0.087
Mn 0.500 0.500 0.913
Cr 0.000 0.000 0.000
Cr 0.500 0.500 0.500

Computed properties:
- size of the total moment (μB per atom) = 0.435
- energy relative to the elements (eV/atom) = 1.610



4.
BaBTeI2: relaxed, PBE.

a b c (Å): 5.451 5.451 5.181
angles (deg): 90.00 90.00 90.00
Fractional coordinates of all 5 atoms:
Ba 0.000 0.000 0.000
B 0.500 0.500 0.500
Te 0.500 0.500 0.000
I 0.000 0.500 0.500
I 0.500 0.000 0.500

Computed properties:
- size of the total moment (μB per atom) = 0.000
- ΔE_f (raw) (eV per atom) = -0.246
- E above lowest polymorph (eV/f.u.) = 0.00



5.
LaPr3Pt: relaxed, PBE.

a b c (Å): 7.932 7.932 6.362
angles (deg): 90.00 90.00 120.00
Fractional coordinates of all 10 atoms:
La 0.000 0.000 0.000
La 0.333 0.667 0.500
Pr 0.024 0.512 0.000
Pr 0.309 0.154 0.500
Pr 0.488 0.512 0.000
Pr 0.488 0.976 0.000
Pr 0.846 0.154 0.500
Pr 0.846 0.691 0.500
Pt 0.667 0.333 0.251
Pt 0.667 0.333 0.749

Computed properties:
- size of the total moment (μB per atom) = 0.000
- energy relative to the elements (eV/atom) = -0.312
- E above lowest polymorph (eV/f.u.) = 0.78



6.
AcGdLu4: relaxed, PBE.

a b c (Å): 6.661 6.661 6.661
angles (deg): 60.00 60.00 60.00
Fractional coordinates of all 6 atoms:
Ac 0.000 0.000 0.000
Gd 0.750 0.750 0.750
Lu 0.375 0.375 0.375
Lu 0.375 0.375 0.874
Lu 0.375 0.874 0.375
Lu 0.874 0.375 0.375

Computed properties:
- size of the total moment (μB per atom) = 2.136
- energy relative to the elements (eV/atom) = 0.242